[1]
Entry from Alexandria: a relaxed structure of Sm8C3Se4O (PBE).

Summary:
**ΔE_f (raw)**: -1395 meV/atom

Cell: 7.6899 7.6899 20.1175 Å, 90.00 90.00 120.00°
Last column: nearest neighbours and their distance in Å.
Space group R-3m (No. 166, hexagonal axes)
Asymmetric unit:
Sm  0.0000  0.0000  0.2365  3 C 2.63
Sm  0.0058  0.5029  0.7648  2 C 2.60, 1 O 2.65
C  0.0000  0.5000  0.5000  6 Sm 2.60-2.63
Se  0.0000  0.0000  0.0000  6 Sm 2.94
Se  0.0000  0.5000  0.0000  6 Sm 2.95-2.99
O  0.0000  0.0000  0.5000  6 Sm 2.65



[2]
Entry from Alexandria: a relaxed structure of Ba2CaZr (PBE).

Summary:
**Formation enthalpy at 0 K**: 0.5455 eV per atom
**Energy relative to the lowest polymorph listed for this composition**: 142 meV/atom

Cell: 6.3256 6.3256 4.1084 Å, 90.00 90.00 90.00°
Last column: nearest neighbours and their distance in Å.
Space group P4/mmm (No. 123)
Asymmetric unit:
Ba  0.0000  0.5000  0.0000  4 Zr 3.77, 4 Ca 3.77, 2 Ba 4.11
Ca  0.0000  0.0000  0.5000  8 Ba 3.77, 2 Ca 4.11
Zr  0.5000  0.5000  0.5000  8 Ba 3.77, 2 Zr 4.11



[3]
Entry from Alexandria: a relaxed structure of LaErNiPd (PBE).

Summary:
**Formation enthalpy at 0 K**: -0.5387 eV per atom

Cell: 7.0600 7.0600 7.0600 Å, 90.00 90.00 90.00°
Last column: nearest neighbours and their distance in Å.
Space group F-43m (No. 216)
Asymmetric unit:
La  0.0000  0.0000  0.0000  4 Pd 3.06, 4 Ni 3.06
Er  0.0000  0.0000  0.5000  4 Ni 3.06, 4 Pd 3.06
Ni  0.2500  0.2500  0.2500  4 La 3.06, 4 Er 3.06
Pd  0.2500  0.2500  0.7500  4 La 3.06, 4 Er 3.06



[4]
Entry from Alexandria: a relaxed structure of Te3RuO (PBE).

Summary:
**ΔE_f (raw)**: 630 meV/atom
**Energy relative to the lowest polymorph listed for this composition**: 0 meV/atom

Cell: 4.6899 4.6899 4.6899 Å, 90.00 90.00 90.00°
Last column: nearest neighbours and their distance in Å.
Space group Pm-3m (No. 221)
Asymmetric unit:
Te  0.0000  0.0000  0.5000  2 O 2.34
Ru  0.5000  0.5000  0.5000  12 Te 3.32
O  0.0000  0.0000  0.0000  6 Te 2.34



[5]
Entry from Alexandria: a relaxed structure of K2ReMo (PBE).

Summary:
**Formation enthalpy at 0 K**: 1.4990 eV per atom
**Energy relative to the lowest polymorph listed for this composition**: 647 meV/atom

Cell: 2.8316 2.8316 36.7627 Å, 90.00 90.00 120.00°
Last column: nearest neighbours and their distance in Å.
Space group R-3m (No. 166, hexagonal axes)
Asymmetric unit:
K  0.0000  0.0000  0.2472  6 K 2.83
Re  0.0000  0.0000  0.5000  6 Re 2.83
Mo  0.0000  0.0000  0.0000  6 Mo 2.83



[6]
Entry from Alexandria: a relaxed structure of Tl4Cd2Hg5 (PBE).

Summary:
**Formation enthalpy at 0 K**: 0.0124 eV per atom
**Energy relative to the lowest polymorph listed for this composition**: 13 meV/atom

Cell: 7.7321 3.4861 11.4287 Å, 90.00 92.40 90.00°
Last column: nearest neighbours and their distance in Å.
Space group P2/m (No. 10)
Asymmetric unit:
Tl  0.1532  0.0000  0.3933  8 Hg 3.33-3.60, 3 Tl 3.47-3.49, 2 Cd 3.47
Tl  0.2918  0.0000  0.9451  4 Cd 3.30-3.40, 6 Hg 3.36-3.65, 3 Tl 3.41-3.49
Cd  0.0546  0.5000  0.1365  2 Hg 2.98-3.07, 1 Cd 3.20, 2 Tl 3.30
Hg  0.2063  0.5000  0.6682  2 Hg 3.04-3.09, 1 Cd 3.07, 2 Tl 3.33
Hg  0.4275  0.5000  0.2121  1 Cd 2.98, 2 Hg 3.09-3.31
Hg  0.5000  0.5000  0.5000  4 Hg 3.04-3.31, 4 Tl 3.38



[7]
Entry from Alexandria: a relaxed structure of KP2W (PBE).

Summary:
**Formation enthalpy at 0 K**: 0.7089 eV per atom
**Energy relative to the lowest polymorph listed for this composition**: 912 meV/atom

Cell: 7.4586 7.3672 2.7534 Å, 90.00 109.12 90.00°
Last column: nearest neighbours and their distance in Å.
Space group C2/m (No. 12)
Asymmetric unit:
K  0.0000  0.0000  0.0000  4 P 2.66, 2 K 2.75
P  0.2500  0.2500  0.5000  2 W 2.66, 2 K 2.66, 2 P 2.75
W  0.0000  0.5000  0.0000  4 P 2.66, 2 W 2.75



[8]
Entry from Alexandria: a relaxed structure of PaSnH (PBE).

Summary:
**Energy relative to the lowest polymorph listed for this composition**: 48 meV/atom

Cell: 4.0000 4.0000 4.2799 Å, 90.00 90.00 120.00°
Last column: nearest neighbours and their distance in Å.
Space group P-6m2 (No. 187)
Asymmetric unit:
Pa  0.0000  0.0000  0.0000  3 H 2.31
Sn  0.6667  0.3333  0.5000  6 Pa 3.15, 6 H 3.15
H  0.3333  0.6667  0.0000  3 Pa 2.31